Record 1
The following is a PBE calculation of Na3SiTe3 after structural relaxation, from the Alexandria database.

Output
formation energy without anion corrections	-675	meV per atom
symmetry	P2_1/c (14)

abc: 12.8916 8.8901 9.0204
angles: 59.60 90.00 90.00
Positions (direct):
Si: 0.4907 0.8535 0.5325
Si: 0.0093 0.8535 0.0325
Si: 0.9907 0.1465 0.9675
Si: 0.5093 0.1465 0.4675
Na: 0.6519 0.4937 0.5208
Na: 0.8481 0.4937 0.0208
Na: 0.7709 0.9709 0.2763
Na: 0.2291 0.0291 0.7237
Na: 0.0577 0.7267 0.4736
Na: 0.4423 0.7267 0.9736
Na: 0.9423 0.2733 0.5264
Na: 0.7291 0.9709 0.7763
Na: 0.5577 0.2733 0.0264
Na: 0.1519 0.5063 0.9792
Na: 0.2709 0.0291 0.2237
Na: 0.3481 0.5063 0.4792
Te: 0.0255 0.1509 0.2416
Te: 0.4745 0.1509 0.7416
Te: 0.5255 0.8491 0.2584
Te: 0.3072 0.7503 0.6360
Te: 0.8771 0.6648 0.2595
Te: 0.8072 0.2497 0.8640
Te: 0.1928 0.7503 0.1360
Te: 0.9745 0.8491 0.7584
Te: 0.3771 0.3352 0.2405
Te: 0.6229 0.6648 0.7595
Te: 0.6928 0.2497 0.3640
Te: 0.1229 0.3352 0.7405

=====

Record 2
The following is a PBE calculation of NaSiTe3 after structural relaxation, from the Alexandria database.

Output
excess energy over the best structure of this formula in the dataset	1169	meV/atom
formation energy without anion corrections	897	meV per atom
symmetry	Pm-3m (221)

abc: 5.4562 5.4562 5.4562
angles: 90.00 90.00 90.00
Positions (direct):
Te: 0.5000 0.0000 0.0000
Te: 0.0000 0.0000 0.5000
Te: 0.0000 0.5000 0.0000
Si: 0.5000 0.5000 0.5000
Na: 0.0000 0.0000 0.0000

=====

Record 3
The following is a PBE calculation of Na2TlSiTe4 after structural relaxation, from the Alexandria database.

Output
formation energy without anion corrections	-272	meV per atom
symmetry	Imma (74)

abc: 8.7837 8.7837 9.1897
angles: 121.55 121.55 90.33
Positions (direct):
Na: 0.0000 0.0000 0.5000
Na: 0.5000 0.0000 0.5000
Na: 0.5000 0.5000 0.0000
Na: 0.5000 0.0000 0.0000
Te: 0.2536 0.2464 0.4625
Te: 0.2536 0.2464 0.0375
Te: 0.2809 0.7330 0.5069
Te: 0.7191 0.2670 0.4931
Te: 0.2330 0.7809 0.0069
Te: 0.7670 0.2191 0.9931
Te: 0.7464 0.7536 0.9625
Te: 0.7464 0.7536 0.5375
Tl: 0.0000 0.5000 0.0000
Tl: 0.0000 0.5000 0.5000
Si: 0.0000 0.0000 0.0000
Si: 0.5000 0.5000 0.5000

=====

Record 4
The following is a PBE calculation of NaYSi2Te after structural relaxation, from the Alexandria database.

Output
formation energy without anion corrections	626	meV per atom
symmetry	P4/mmm (123)

abc: 4.9313 5.3506 4.9313
angles: 90.00 90.00 90.00
Positions (direct):
Y: 0.5000 0.5000 0.5000
Na: 0.0000 0.0000 0.0000
Te: 0.0000 0.5000 0.0000
Si: 0.0000 0.0000 0.5000
Si: 0.5000 0.0000 0.0000

=====

Record 5
The following is a PBE calculation of NaZnSi2Te6 after structural relaxation, from the Alexandria database.

Output
formation energy without anion corrections	-151	meV per atom
symmetry	C2/c (15)

abc: 7.2914 9.9260 9.9260
angles: 88.36 76.25 76.25
Positions (direct):
Zn: 0.7500 0.7755 0.2245
Zn: 0.2500 0.2245 0.7755
Te: 0.0258 0.6958 0.5587
Te: 0.5258 0.5587 0.6958
Te: 0.4203 0.8849 0.3986
Te: 0.3196 0.1730 0.0442
Te: 0.4742 0.4413 0.3042
Te: 0.9742 0.3042 0.4413
Te: 0.8196 0.0442 0.1730
Te: 0.9203 0.3986 0.8849
Te: 0.1804 0.9558 0.8270
Te: 0.6804 0.8270 0.9558
Te: 0.0797 0.6014 0.1151
Te: 0.5797 0.1151 0.6014
Na: 0.7500 0.1390 0.8610
Na: 0.2500 0.8610 0.1390
Si: 0.3010 0.7759 0.6293
Si: 0.6990 0.2241 0.3707
Si: 0.8010 0.6293 0.7759
Si: 0.1990 0.3707 0.2241

=====

Record 6
The following is a PBE calculation of Na2ZnSiTe4 after structural relaxation, from the Alexandria database.

Output
formation energy without anion corrections	-462	meV per atom
symmetry	Pmn2_1 (31)

abc: 7.4321 8.7524 8.5496
angles: 90.00 90.00 90.00
Positions (direct):
Te: 0.8521 0.8962 0.0000
Te: 0.3521 0.1038 0.5000
Te: 0.9135 0.3125 0.7576
Te: 0.4135 0.6875 0.7424
Te: 0.3389 0.1340 0.0000
Te: 0.4135 0.6875 0.2576
Te: 0.8389 0.8660 0.5000
Te: 0.9135 0.3125 0.2424
Zn: 0.9900 0.1381 0.5000
Zn: 0.4900 0.8619 0.0000
Si: 0.9995 0.1545 0.0000
Si: 0.4995 0.8455 0.5000
Na: 0.4962 0.3331 0.2578
Na: 0.9962 0.6669 0.7578
Na: 0.4962 0.3331 0.7422
Na: 0.9962 0.6669 0.2422